InSn5Cl11 after structural relaxation, computed with GGA-PBE.

Cell lengths 9.0572, 15.1401, 9.2665 Å; angles 90.00, 105.12, 90.00 degrees
Closest atoms and distances in Å follow each position.
Space group C2/m (No. 12)
Unique sites:
In  0.0000  0.0000  0.0000 [2 per cell]  4 Cl 3.16
Sn  0.0000  0.5000  0.0000 [2 per cell]  6 Cl 2.87-2.88
Sn  0.2097  0.1476  0.6526 [8 per cell]  4 Cl 2.69-2.91
Cl  0.0000  0.0000  0.5000 [2 per cell]  4 Sn 3.03
Cl  0.0788  0.5000  0.3223 [4 per cell]  3 Sn 2.88-2.91
Cl  0.0813  0.2180  0.3270 [8 per cell]  2 Sn 2.75-2.89
Cl  0.2420  0.3719  0.0501 [8 per cell]  2 Sn 2.69-2.87

Values from the calculation:
Its calculated volume is 1226.7 Å³/cell. As for the energy relative to the elements, uncorrected: -933 meV per atom. The calculation puts the mass density at 3.0 g cm⁻³. The calculation puts the total energy at -58.9 eV/f.u.


In5SnCl8 after structural relaxation, computed with GGA-PBE.

Cell lengths 9.3684, 9.3684, 9.2699 Å; angles 90.00, 90.00, 90.00 degrees
Closest atoms and distances in Å follow each position.
Space group I-4 (No. 82)
Unique sites:
In  0.0000  0.0000  0.0000 [2 per cell]  4 Cl 3.13
In  0.1615  0.2566  0.6186 [8 per cell]  5 Cl 2.99-3.21
Sn  0.0000  0.5000  0.2500 [2 per cell]  8 Cl 2.94-3.15
Cl  0.0620  0.1999  0.3176 [8 per cell]  1 Sn 2.94, 3 In 2.99-3.21
Cl  0.0666  0.3254  0.9669 [8 per cell]  3 In 3.01-3.13, 1 Sn 3.15

Values from the calculation:
Its calculated volume is 813.6 Å³/cell. As for the energy relative to the elements, uncorrected: -806 meV per atom. The calculation puts the mass density at 4.0 g cm⁻³. The calculation puts the total energy at -43.8 eV/f.u.


In2Sn2Cl after structural relaxation, computed with GGA-PBE.

Cell lengths 4.3728, 4.3728, 15.0191 Å; angles 90.00, 90.00, 90.00 degrees
Closest atoms and distances in Å follow each position.
Space group I4/mmm (No. 139)
Unique sites:
In  0.0000  0.5000  0.2500 [4 per cell]  4 In 3.09, 4 Sn 3.12
Sn  0.0000  0.0000  0.1014 [4 per cell]  1 Sn 3.05, 4 In 3.12
Cl  0.0000  0.0000  0.5000 [2 per cell]  8 Sn 3.45

Values from the calculation:
Its calculated volume is 287.2 Å³/cell. As for the energy relative to the elements, uncorrected: -76 meV per atom. The calculation puts the mass density at 5.8 g cm⁻³. For the energy above the most stable polymorph in this dataset, the calculation gives 78 meV per atom. The calculation puts the total energy at -15.7 eV/f.u.


In4SnCl6 after structural relaxation, computed with GGA-PBE.

Cell lengths 8.5169, 8.5169, 9.4381 Å; angles 90.00, 90.00, 90.00 degrees
Closest atoms and distances in Å follow each position.
Space group P4/mnc (No. 128)
Unique sites:
In  0.1577  0.3423  0.2500 [8 per cell]  4 Cl 3.12-3.24
Sn  0.0000  0.0000  0.0000 [2 per cell]  6 Cl 2.79-2.86
Cl  0.0000  0.0000  0.2959 [4 per cell]  1 Sn 2.79
Cl  0.1502  0.6994  0.0000 [8 per cell]  1 Sn 2.86, 2 In 3.12

Values from the calculation:
Its calculated volume is 684.6 Å³/cell. As for the energy relative to the elements, uncorrected: -836 meV per atom. The calculation puts the mass density at 3.8 g cm⁻³. The calculation puts the total energy at -35.2 eV/f.u.


InSnCl2 after structural relaxation, computed with GGA-PBE.

Cell lengths 3.5904, 3.5904, 29.9768 Å; angles 90.00, 90.00, 120.00 degrees
Closest atoms and distances in Å follow each position.
Space group R-3m (No. 166, hexagonal axes)
Unique sites:
In  0.0000  0.0000  0.0000 [3 per cell]  2 Cl 2.85
Sn  0.0000  0.0000  0.5000 [3 per cell]  6 Cl 2.99
Cl  0.0000  0.0000  0.0950 [6 per cell]  1 In 2.85, 3 Sn 2.99

Values from the calculation:
Its calculated volume is 334.7 Å³/cell. As for the energy relative to the elements, uncorrected: -524 meV per atom. The calculation puts the mass density at 4.5 g cm⁻³. For the energy above the most stable polymorph in this dataset, the calculation gives 0 meV per atom. The calculation puts the total energy at -12.5 eV/f.u.


In3Sn5Cl12 after structural relaxation, computed with GGA-PBE.

Cell lengths 17.8571, 17.8571, 17.8571 Å; angles 90.00, 90.00, 90.00 degrees
Closest atoms and distances in Å follow each position.
Space group Ia-3d (No. 230)
Unique sites:
In  0.0000  0.2500  0.1250 [24 per cell]  8 Cl 3.42-3.48
Sn  0.0000  0.0000  0.0000 [16 per cell]  6 Cl 2.89
Sn  0.0000  0.2500  0.3750 [24 per cell]  4 Cl 2.76
Cl  0.0283  0.0621  0.6466 [96 per cell]  2 Sn 2.76-2.89

Values from the calculation:
Its calculated volume is 5694.2 Å³/cell. As for the energy relative to the elements, uncorrected: -790 meV per atom. The calculation puts the mass density at 3.2 g cm⁻³. The calculation puts the total energy at -66.2 eV/f.u.


InSn4Cl8 after structural relaxation, computed with GGA-PBE.

Cell lengths 12.5380, 12.5380, 12.5380 Å; angles 90.00, 90.00, 90.00 degrees
Closest atoms and distances in Å follow each position.
Space group F-43m (No. 216)
Unique sites:
In  0.0000  0.0000  0.0000 [4 per cell]  4 Cl 3.07
Sn  0.1222  0.1222  0.6222 [16 per cell]  6 Cl 2.89-2.99
Cl  0.1069  0.1069  0.3931 [16 per cell]  3 Sn 2.89
Cl  0.1412  0.1412  0.8588 [16 per cell]  3 Sn 2.99, 1 In 3.07

Values from the calculation:
Its calculated volume is 1971.0 Å³/cell. As for the energy relative to the elements, uncorrected: -806 meV per atom. The calculation puts the mass density at 2.9 g cm⁻³. For the energy above the most stable polymorph in this dataset, the calculation gives 28 meV per atom. The calculation puts the total energy at -44.0 eV/f.u.


InSn2Cl5 after structural relaxation, computed with GGA-PBE.

Cell lengths 8.9522, 8.5256, 12.7695 Å; angles 90.00, 91.17, 90.00 degrees
Closest atoms and distances in Å follow each position.
Space group P2_1/c (No. 14)
Unique sites:
In  0.0057  0.0444  0.3262 [4 per cell]  7 Cl 3.14-3.45
Sn  0.2351  0.5279  0.4918 [4 per cell]  4 Cl 2.63-2.91
Sn  0.4795  0.5513  0.8368 [4 per cell]  3 Cl 2.63-2.69
Cl  0.0393  0.1674  0.0808 [4 per cell]  2 Sn 2.69-2.87
Cl  0.2364  0.1498  0.8234 [4 per cell]  1 Sn 2.63
Cl  0.2477  0.6734  0.7274 [4 per cell]  1 Sn 2.69
Cl  0.2923  0.5374  0.9922 [4 per cell]  1 Sn 2.63
Cl  0.4577  0.1601  0.1030 [4 per cell]  2 Sn 2.64-2.91

Values from the calculation:
Its calculated volume is 974.4 Å³/cell. As for the energy relative to the elements, uncorrected: -964 meV per atom. The calculation puts the mass density at 3.6 g cm⁻³. For the energy above the most stable polymorph in this dataset, the calculation gives 0 meV per atom. The calculation puts the total energy at -27.7 eV/f.u.


In2SnCl6 after structural relaxation, computed with GGA-PBE.

Cell lengths 13.8017, 7.9619, 6.5973 Å; angles 90.00, 107.51, 90.00 degrees
Closest atoms and distances in Å follow each position.
Space group C2/m (No. 12)
Unique sites:
In  0.1493  0.0000  0.0704 [4 per cell]  3 Cl 2.52-2.53
Sn  0.0000  0.5000  0.0000 [2 per cell]  6 Cl 2.86-2.87
Cl  0.1017  0.2359  0.2783 [8 per cell]  1 In 2.53
Cl  0.1591  0.5000  0.8059 [4 per cell]  1 In 2.52

Values from the calculation:
Its calculated volume is 691.3 Å³/cell. As for the energy relative to the elements, uncorrected: -778 meV per atom. The calculation puts the mass density at 2.7 g cm⁻³. The calculation puts the total energy at -27.6 eV/f.u.


In4Sn3Cl10 after structural relaxation, computed with GGA-PBE.

Cell lengths 5.5531, 5.5531, 38.0293 Å; angles 90.00, 90.00, 90.00 degrees
Closest atoms and distances in Å follow each position.
Space group I4/mmm (No. 139)
Unique sites:
In  0.0000  0.0000  0.0756 [4 per cell]  12 Cl 3.63-4.00
In  0.0000  0.0000  0.2056 [4 per cell]  1 Cl 2.73
Sn  0.0000  0.0000  0.3559 [4 per cell]  6 Cl 2.68-2.99
Sn  0.0000  0.0000  0.5000 [2 per cell]  6 Cl 2.78-2.80
Cl  0.0000  0.0000  0.2773 [4 per cell]  1 In 2.73, 1 Sn 2.99
Cl  0.0000  0.0000  0.4264 [4 per cell]  2 Sn 2.68-2.80
Cl  0.0000  0.5000  0.0000 [4 per cell]  2 Sn 2.78
Cl  0.0000  0.5000  0.1372 [8 per cell]  2 Sn 2.79

Values from the calculation:
Its calculated volume is 1172.7 Å³/cell. As for the energy relative to the elements, uncorrected: -862 meV per atom. The calculation puts the mass density at 3.3 g cm⁻³. The calculation puts the total energy at -56.1 eV/f.u.


In3SnCl after structural relaxation, computed with GGA-PBE.

Cell lengths 5.5628, 5.5628, 5.5628 Å; angles 90.00, 90.00, 90.00 degrees
Closest atoms and distances in Å follow each position.
Space group Pm-3m (No. 221)
Unique sites:
In  0.0000  0.0000  0.5000 [3 per cell]  2 Cl 2.78
Sn  0.5000  0.5000  0.5000 [1 per cell]  12 In 3.93
Cl  0.0000  0.0000  0.0000 [1 per cell]  6 In 2.78

Values from the calculation:
Its calculated volume is 172.1 Å³/cell. As for the energy relative to the elements, uncorrected: 172 meV per atom. The calculation puts the mass density at 4.8 g cm⁻³. For the energy above the most stable polymorph in this dataset, the calculation gives 39 meV per atom. The calculation puts the total energy at -13.2 eV/f.u.


SrInSnCl5 after structural relaxation, computed with GGA-PBE.

Cell lengths 10.4651, 11.9902, 9.9585 Å; angles 90.00, 112.51, 90.00 degrees
Closest atoms and distances in Å follow each position.
Space group C2/c (No. 15)
Unique sites:
Sr  0.2500  0.2500  0.0000 [4 per cell]  6 Cl 2.91-2.94
In  0.0000  0.0505  0.2500 [4 per cell]  3 Cl 2.96-3.23
Sn  0.0000  0.4957  0.2500 [4 per cell]  4 Cl 2.59-2.86
Cl  0.0000  0.1961  0.7500 [4 per cell]  2 Sr 2.91, 1 In 2.96
Cl  0.0293  0.3425  0.0812 [8 per cell]  1 Sn 2.59
Cl  0.2106  0.0239  0.0845 [8 per cell]  1 Sn 2.86, 1 Sr 2.91

Values from the calculation:
Its calculated volume is 1154.4 Å³/cell. As for the energy relative to the elements, uncorrected: -1477 meV per atom. The calculation puts the mass density at 2.9 g cm⁻³. The calculation puts the total energy at -29.5 eV/f.u.


Ta2InSnCl after structural relaxation, computed with GGA-PBE.

Cell lengths 5.2818, 5.2818, 5.0475 Å; angles 90.00, 90.00, 90.00 degrees
Closest atoms and distances in Å follow each position.
Space group P4/mmm (No. 123)
Unique sites:
Ta  0.0000  0.5000  0.0000 [2 per cell]  2 Sn 2.64
In  0.0000  0.0000  0.5000 [1 per cell]  8 Ta 3.65, 4 Cl 3.73
Sn  0.5000  0.5000  0.0000 [1 per cell]  2 Cl 2.52, 4 Ta 2.64
Cl  0.5000  0.5000  0.5000 [1 per cell]  2 Sn 2.52

Values from the calculation:
Its calculated volume is 140.8 Å³/cell. As for the energy relative to the elements, uncorrected: 1584 meV per atom. The calculation puts the mass density at 7.4 g cm⁻³. The calculation puts the total energy at -24.4 eV/f.u.


TbInSn2Cl8 after structural relaxation, computed with GGA-PBE.

Cell lengths 6.7196, 6.7327, 8.9990 Å; angles 87.42, 87.66, 88.45 degrees
Closest atoms and distances in Å follow each position.
Space group P-1 (No. 2)
Unique sites:
Tb  0.0000  0.0000  0.0000 [1 per cell]  6 Cl 2.67-2.70
In  0.0000  0.0000  0.5000 [1 per cell]  6 Cl 3.13-3.15
Sn  0.4924  0.4922  0.7491 [2 per cell]  3 Cl 2.58-2.88
Cl  0.1767  0.7880  0.7864 [2 per cell]  1 Tb 2.67, 1 Sn 2.89
Cl  0.2119  0.8226  0.2148 [2 per cell]  1 Tb 2.67, 1 Sn 2.88
Cl  0.2809  0.2794  0.9673 [2 per cell]  1 Tb 2.70, 1 Sn 2.75
Cl  0.3185  0.3220  0.5406 [2 per cell]  1 Sn 2.58

Values from the calculation:
Its calculated volume is 406.2 Å³/cell. As for the energy relative to the elements, uncorrected: -1388 meV per atom. The calculation puts the mass density at 3.2 g cm⁻³. The calculation puts the total energy at -46.8 eV/f.u.


InTcSn2Cl after structural relaxation, computed with GGA-PBE.

Cell lengths 5.1400, 5.1400, 5.2674 Å; angles 90.00, 90.00, 90.00 degrees
Closest atoms and distances in Å follow each position.
Space group P4/mmm (No. 123)
Unique sites:
In  0.0000  0.0000  0.0000 [1 per cell]  2 Tc 2.63
Tc  0.0000  0.0000  0.5000 [1 per cell]  4 Sn 2.57, 2 In 2.63
Sn  0.0000  0.5000  0.5000 [2 per cell]  2 Tc 2.57
Cl  0.5000  0.5000  0.0000 [1 per cell]  4 In 3.63, 8 Sn 3.68

Values from the calculation:
Its calculated volume is 139.2 Å³/cell. As for the energy relative to the elements, uncorrected: -155 meV per atom. The calculation puts the mass density at 5.8 g cm⁻³. The calculation puts the total energy at -23.7 eV/f.u.


InSnTeCl after structural relaxation, computed with GGA-PBE.

Cell lengths 5.4211, 5.4211, 34.8646 Å; angles 90.00, 90.00, 120.00 degrees
Closest atoms and distances in Å follow each position.
Space group R-3m (No. 166, hexagonal axes)
Unique sites:
In  0.0000  0.0000  0.1177 [6 per cell]  4 Cl 2.88-3.17
Sn  0.0000  0.0000  0.2935 [6 per cell]  4 Te 3.06-3.14, 1 Cl 3.25
Te  0.0000  0.0000  0.3812 [6 per cell]  4 Sn 3.06-3.14
Cl  0.0000  0.0000  0.2004 [6 per cell]  4 In 2.88-3.17

Values from the calculation:
Its calculated volume is 887.3 Å³/cell. As for the energy relative to the elements, uncorrected: -468 meV per atom. The calculation puts the mass density at 4.5 g cm⁻³. For the energy above the most stable polymorph in this dataset, the calculation gives 0 meV per atom. The calculation puts the total energy at -13.6 eV/f.u.


InSnTeCl after structural relaxation, computed with GGA-PBE.

Cell lengths 7.6762, 7.6762, 7.6762 Å; angles 90.00, 90.00, 90.00 degrees
Closest atoms and distances in Å follow each position.
Space group F-43m (No. 216)
Unique sites:
In  0.0000  0.0000  0.0000 [4 per cell]  4 Cl 3.32, 4 Te 3.32
Sn  0.0000  0.0000  0.5000 [4 per cell]  4 Cl 3.32, 4 Te 3.32
Te  0.2500  0.2500  0.2500 [4 per cell]  4 In 3.32, 4 Sn 3.32
Cl  0.2500  0.2500  0.7500 [4 per cell]  4 In 3.32, 4 Sn 3.32

Values from the calculation:
Its calculated volume is 452.3 Å³/cell. As for the energy relative to the elements, uncorrected: -376 meV per atom. The calculation puts the mass density at 5.8 g cm⁻³. For the energy above the most stable polymorph in this dataset, the calculation gives 92 meV per atom. The calculation puts the total energy at -13.2 eV/f.u.


TlIn2SnCl6 after structural relaxation, computed with GGA-PBE.

Cell lengths 7.7205, 7.7254, 7.7299 Å; angles 62.73, 62.75, 62.68 degrees
Closest atoms and distances in Å follow each position.
Space group P-1 (No. 2)
Unique sites:
Tl  0.0000  0.0000  0.0000 [1 per cell]  6 Cl 3.18
In  0.2849  0.2845  0.2854 [2 per cell]  6 Cl 3.20-3.28
Sn  0.5000  0.5000  0.5000 [1 per cell]  6 Cl 2.65
Cl  0.1715  0.3752  0.6961 [2 per cell]  1 Sn 2.65
Cl  0.3026  0.8290  0.6244 [2 per cell]  1 Sn 2.65
Cl  0.3754  0.6968  0.1714 [2 per cell]  1 Sn 2.65

Values from the calculation:
Its calculated volume is 345.7 Å³/cell. As for the energy relative to the elements, uncorrected: -889 meV per atom. The calculation puts the mass density at 3.7 g cm⁻³. The calculation puts the total energy at -31.8 eV/f.u.